Entry 1:
A relaxed structure of MgGa3Ni. Source: the Alexandria database, functional PBE-GGA.

Output
Magnetic moment (Bohr magnetons per cell): 0.66
Space-group type: Pm-3m (221)
ΔE_f (kJ per mole of atoms): 91
Uncorrected energy (eV for the cell shown): -11.76

Lattice parameters (Å, degrees): 4.9763 4.9763 4.9763 90.00 90.00 90.00
With the nearest neighbours (Å) after each atom.
Fractional positions:
Mg  0.0000  0.0000  0.0000  6 Ga 2.49
Ga  0.0000  0.0000  0.5000  2 Mg 2.49
Ga  0.0000  0.5000  0.0000  2 Mg 2.49
Ga  0.5000  0.0000  0.0000  2 Mg 2.49
Ni  0.5000  0.5000  0.5000  12 Ga 3.52


Entry 2:
A relaxed structure of Cs2KCd2F7. Source: the Alexandria database, functional PBE-GGA.

Output
Magnetic moment (Bohr magnetons per cell): 0.00
Space-group type: I4/mmm (139)
Formation energy from raw total energies (eV per atom): -2.50
Uncorrected energy (eV for the cell shown): -47.70

Lattice parameters (Å, degrees): 12.2944 12.2944 12.2944 158.79 158.79 30.17
With the nearest neighbours (Å) after each atom.
Fractional positions:
Cs  0.1839  0.1839  0.0000  9 F 3.02-3.20
Cs  0.8161  0.8161  0.0000  9 F 3.02-3.20
K  0.0000  0.0000  0.0000  12 F 3.12-3.20
Cd  0.4061  0.4061  0.0000  6 F 2.23-2.26
Cd  0.5939  0.5939  0.0000  6 F 2.23-2.26
F  0.0903  0.5903  0.5000  2 Cd 2.26
F  0.3112  0.3112  0.0000  1 Cd 2.25
F  0.4097  0.9097  0.5000  2 Cd 2.26
F  0.5000  0.5000  0.0000  2 Cd 2.23
F  0.5903  0.0903  0.5000  2 Cd 2.26
F  0.6888  0.6888  0.0000  1 Cd 2.25
F  0.9097  0.4097  0.5000  2 Cd 2.26


Entry 3:
A relaxed structure of FePbBr2. Source: the Alexandria database, functional PBE-GGA.

Output
Magnetic moment (Bohr magnetons per cell): 3.25
Space-group type: R3m (160)
Formation energy from raw total energies (eV per atom): -0.11
Uncorrected energy (eV for the cell shown): -15.94

Lattice parameters (Å, degrees): 9.0827 9.0827 9.0827 24.07 24.07 24.07
With the nearest neighbours (Å) after each atom.
Fractional positions:
Fe  0.0000  0.0000  0.0000  3 Br 2.52
Pb  0.7394  0.7394  0.7394  3 Fe 2.91, 3 Br 3.05
Br  0.2857  0.2857  0.2857  3 Fe 2.52
Br  0.4863  0.4863  0.4863  3 Pb 3.05


Entry 4:
A relaxed structure of Pm4Al5Ir2. Source: the Alexandria database, functional PBE-GGA.

Output
Magnetic moment (Bohr magnetons per cell): 0.00
Space-group type: P2/m (10)
ΔE_f (kJ per mole of atoms): -45
Uncorrected energy (eV for the cell shown): -60.53

Lattice parameters (Å, degrees): 7.1124 3.8983 9.2793 90.00 92.32 90.00
With the nearest neighbours (Å) after each atom.
Fractional positions:
Pm  0.1772  0.0000  0.3635  2 Ir 2.89, 4 Al 3.16-3.23
Pm  0.2445  0.0000  0.9447  4 Ir 3.02-3.04, 6 Al 3.27-3.28
Pm  0.7555  0.0000  0.0553  4 Ir 3.02-3.04, 6 Al 3.27-3.28
Pm  0.8228  0.0000  0.6365  2 Ir 2.89, 4 Al 3.16-3.23
Al  0.1932  0.5000  0.6626  1 Ir 2.60, 2 Al 2.70-2.90
Al  0.4377  0.5000  0.1929  1 Ir 2.66, 2 Al 2.87-2.90
Al  0.5000  0.5000  0.5000  4 Al 2.70-2.87
Al  0.5623  0.5000  0.8071  1 Ir 2.66, 2 Al 2.87-2.90
Al  0.8068  0.5000  0.3374  1 Ir 2.60, 2 Al 2.70-2.90
Ir  0.0661  0.5000  0.1470  2 Al 2.60-2.66, 1 Ir 2.85, 2 Pm 2.89
Ir  0.9339  0.5000  0.8530  2 Al 2.60-2.66, 1 Ir 2.85, 2 Pm 2.89